[1]
A relaxed structure of PrThPaN3. Source: Alexandria, functional PBE.

Structure (CIF):
```
data_PrThPaN3
_cell_length_a 5.9965
_cell_length_b 3.5565
_cell_length_c 9.6972
_cell_angle_alpha 90.00
_cell_angle_beta 92.55
_cell_angle_gamma 90.00
_symmetry_space_group_name_H-M 'P 1'
_symmetry_Int_Tables_number 1
loop_
_symmetry_equiv_pos_as_xyz
'x,y,z'
loop_
_atom_site_label
_atom_site_fract_x
_atom_site_fract_y
_atom_site_fract_z
Pr1 0.2327 0.2500 0.2450
Pr2 0.7673 0.7500 0.7550
Th1 0.2990 0.2500 0.8804
Th2 0.7010 0.7500 0.1196
Pa1 0.2535 0.7500 0.5575
Pa2 0.7465 0.2500 0.4425
N1 0.0161 0.2500 0.6299
N2 0.3043 0.7500 0.0527
N3 0.4935 0.7500 0.3693
N4 0.5065 0.2500 0.6307
N5 0.6957 0.2500 0.9473
N6 0.9839 0.7500 0.3701
```

Output
* crystal system: monoclinic
* SG: No. 11
* density: 10.384 g/cm³
* energy relative to the elements, uncorrected: -1376 meV/atom

[2]
A relaxed structure of PrPaTiN4. Source: Alexandria, functional PBE.

Structure (CIF):
```
data_PrPaTiN4
_cell_length_a 6.7966
_cell_length_b 6.7966
_cell_length_c 5.5483
_cell_angle_alpha 90.00
_cell_angle_beta 90.00
_cell_angle_gamma 131.98
_symmetry_space_group_name_H-M 'P 1'
_symmetry_Int_Tables_number 1
loop_
_symmetry_equiv_pos_as_xyz
'x,y,z'
loop_
_atom_site_label
_atom_site_fract_x
_atom_site_fract_y
_atom_site_fract_z
Pr1 0.1067 0.8933 0.7500
Pr2 0.8933 0.1067 0.2500
Pa1 0.3861 0.6139 0.7500
Pa2 0.6139 0.3861 0.2500
Ti1 0.2364 0.7636 0.2500
Ti2 0.7636 0.2364 0.7500
N1 0.0000 0.5000 0.0000
N2 0.0000 0.5000 0.5000
N3 0.0820 0.9180 0.2500
N4 0.4447 0.5553 0.2500
N5 0.5000 0.0000 0.0000
N6 0.5000 0.0000 0.5000
N7 0.5553 0.4447 0.7500
N8 0.9180 0.0820 0.7500
```

Output
* crystal system: orthorhombic
* SG: No. 63
* density: 8.294 g/cm³
* energy relative to the elements, uncorrected: -1396 meV/atom

[3]
A relaxed structure of PrPaTiN3. Source: Alexandria, functional PBE.

Structure (CIF):
```
data_PrPaTiN3
_cell_length_a 7.1296
_cell_length_b 3.6041
_cell_length_c 8.7254
_cell_angle_alpha 90.00
_cell_angle_beta 102.02
_cell_angle_gamma 90.00
_symmetry_space_group_name_H-M 'P 1'
_symmetry_Int_Tables_number 1
loop_
_symmetry_equiv_pos_as_xyz
'x,y,z'
loop_
_atom_site_label
_atom_site_fract_x
_atom_site_fract_y
_atom_site_fract_z
Pr1 0.1636 0.2500 0.1421
Pr2 0.8364 0.7500 0.8579
Pa1 0.3394 0.7500 0.8482
Pa2 0.6606 0.2500 0.1518
Ti1 0.0664 0.2500 0.6112
Ti2 0.9336 0.7500 0.3888
N1 0.1107 0.2500 0.8519
N2 0.1608 0.7500 0.5749
N3 0.4394 0.7500 0.1177
N4 0.5606 0.2500 0.8823
N5 0.8392 0.2500 0.4251
N6 0.8893 0.7500 0.1481
```

Output
* crystal system: monoclinic
* SG: No. 11
* density: 6.994 g/cm³
* energy relative to the elements, uncorrected: -1294 meV/atom

[4]
A relaxed structure of Pr3TmPa2N6. Source: Alexandria, functional PBE.

Structure (CIF):
```
data_Pr3TmPa2N6
_cell_length_a 6.1472
_cell_length_b 6.1472
_cell_length_c 6.2615
_cell_angle_alpha 99.40
_cell_angle_beta 99.40
_cell_angle_gamma 120.03
_symmetry_space_group_name_H-M 'P 1'
_symmetry_Int_Tables_number 1
loop_
_symmetry_equiv_pos_as_xyz
'x,y,z'
loop_
_atom_site_label
_atom_site_fract_x
_atom_site_fract_y
_atom_site_fract_z
Pr1 0.0000 0.0000 0.0000
Pr2 0.3344 0.6656 0.0000
Pr3 0.6656 0.3344 0.0000
Tm1 0.5000 0.5000 0.5000
Pa1 0.1667 0.8333 0.5000
Pa2 0.8333 0.1667 0.5000
N1 0.0873 0.4297 0.2895
N2 0.2282 0.2282 0.7107
N3 0.4297 0.0873 0.2895
N4 0.5703 0.9127 0.7105
N5 0.7718 0.7718 0.2893
N6 0.9127 0.5703 0.7105
```

Output
* crystal system: monoclinic
* SG: No. 12
* density: 9.758 g/cm³
* energy relative to the elements, uncorrected: -1579 meV/atom

Question: Number 2 is which compound?
Answer: PrPaTiN4